Record 1
Material: GdHgSb
Method: DFT, PBE
State: optimized geometry

Summary:
**Space-group type**: F-43m

Cell lengths 7.258, 7.258, 7.258 Å; angles 90.00, 90.00, 90.00 degrees
Atoms (fractional coordinates):
Gd 0.000 0.000 0.000
Gd 0.000 0.500 0.500
Gd 0.500 0.000 0.500
Gd 0.500 0.500 0.000
Hg 0.250 0.250 0.750
Hg 0.250 0.750 0.250
Hg 0.750 0.250 0.250
Hg 0.750 0.750 0.750
Sb 0.250 0.250 0.250
Sb 0.250 0.750 0.750
Sb 0.750 0.250 0.750
Sb 0.750 0.750 0.250

Record 2
Material: GdHgSb
Method: DFT, PBE
State: optimized geometry

Summary:
**Space-group type**: F-43m

Cell lengths 7.241, 7.241, 7.241 Å; angles 90.00, 90.00, 90.00 degrees
Atoms (fractional coordinates):
Gd 0.000 0.000 0.000
Gd 0.000 0.500 0.500
Gd 0.500 0.000 0.500
Gd 0.500 0.500 0.000
Hg 0.000 0.000 0.500
Hg 0.000 0.500 0.000
Hg 0.500 0.000 0.000
Hg 0.500 0.500 0.500
Sb 0.250 0.250 0.250
Sb 0.250 0.750 0.750
Sb 0.750 0.250 0.750
Sb 0.750 0.750 0.250

Record 3
Material: GdScHg6
Method: DFT, PBE
State: optimized geometry

Summary:
**ΔH_f (0 K)**: -290.6 meV/atom
**Space-group type**: P-6m2

Cell lengths 6.548, 6.548, 4.961 Å; angles 90.00, 90.00, 120.00 degrees
Atoms (fractional coordinates):
Gd 0.000 0.000 0.000
Sc 0.333 0.667 0.500
Hg 0.009 0.505 0.000
Hg 0.337 0.169 0.500
Hg 0.495 0.505 0.000
Hg 0.495 0.991 0.000
Hg 0.831 0.169 0.500
Hg 0.831 0.663 0.500

Record 4
Material: GdScHg
Method: DFT, PBE
State: optimized geometry

Summary:
**ΔH_f (0 K)**: -80.6 meV/atom
**Space-group type**: F-43m

Cell lengths 7.025, 7.025, 7.025 Å; angles 90.00, 90.00, 90.00 degrees
Atoms (fractional coordinates):
Gd 0.000 0.000 0.000
Gd 0.000 0.500 0.500
Gd 0.500 0.000 0.500
Gd 0.500 0.500 0.000
Sc 0.000 0.000 0.500
Sc 0.000 0.500 0.000
Sc 0.500 0.000 0.000
Sc 0.500 0.500 0.500
Hg 0.250 0.250 0.250
Hg 0.250 0.750 0.750
Hg 0.750 0.250 0.750
Hg 0.750 0.750 0.250

Number 1: M_tot 0.000 μB/atom, DFT total energy -42.70 eV per cell, volume 96 Å³/f.u.. Number 2: M_tot 0.014 μB/atom, DFT total energy -39.38 eV per cell, volume 95 Å³/f.u.. Number 3: M_tot 0.000 μB/atom, DFT total energy -15.09 eV per cell, volume 184 Å³/f.u.. Number 4: M_tot 0.001 μB/atom, DFT total energy -46.09 eV per cell, volume 87 Å³/f.u..